one | A relaxed structure of Sb3Se. Source: Alexandria via LeMat-Bulk, functional PBE.

Results
- density (Mg/m³) = 6.35
- M_tot (μB per formula unit) = 0.0

a = 6.141 Å, b = 6.141 Å, c = 6.165 Å
α = 90.00°, β = 90.00°, γ = 89.67°
Element x y z (fractional)
Sb  0.759  0.241  0.250
Sb  0.241  0.759  0.750
Sb  0.746  0.758  0.250
Sb  0.242  0.254  0.250
Sb  0.758  0.746  0.750
Sb  0.254  0.242  0.750
Se  0.272  0.728  0.250
Se  0.728  0.272  0.750

=====

two | A relaxed structure of Sb3Se. Source: Alexandria via LeMat-Bulk, functional PBE.

Results
- density (Mg/m³) = 6.99
- M_tot (μB per formula unit) = 0.0

a = 6.481 Å, b = 6.481 Å, c = 11.597 Å
α = 90.00°, β = 90.00°, γ = 120.00°
Element x y z (fractional)
Se  0.333  0.667  0.250
Se  0.000  0.000  0.000
Se  0.667  0.333  0.750
Se  0.000  0.000  0.500
Sb  0.822  0.178  0.250
Sb  0.355  0.178  0.250
Sb  0.178  0.822  0.750
Sb  0.645  0.822  0.750
Sb  0.000  0.500  0.500
Sb  0.178  0.355  0.750
Sb  0.000  0.500  0.000
Sb  0.822  0.645  0.250
Sb  0.500  0.500  0.000
Sb  0.500  0.000  0.500
Sb  0.500  0.000  0.000
Sb  0.500  0.500  0.500

=====

Most stable one: one, least stable one: two.